## one
Entry from Alexandria via LeMat-Bulk: a relaxed structure of NiBSe2N (PBE).

```
NiBSe2N
1.0
4.938 0.000 0.000
0.000 4.938 0.000
0.000 0.000 3.346
Ni B Se N
1 1 2 1
Direct
0.000 0.000 0.000
0.500 0.500 0.500
0.000 0.500 0.000
0.500 0.000 0.000
0.000 0.000 0.500
```

Properties
ρ, Mg/m³: 4.9
DOS at the Fermi energy, states/eV/atom: 0.680


## two
Entry from Alexandria via LeMat-Bulk: a relaxed structure of NiBSe2N (PBE).

```
NiBSe2N
1.0
5.064 0.000 0.000
0.000 5.064 0.000
0.000 0.000 2.719
Ni B Se N
1 1 2 1
Direct
0.000 0.000 0.000
0.500 0.500 0.500
0.000 0.500 0.500
0.500 0.000 0.500
0.500 0.500 0.000
```

Properties
ρ, Mg/m³: 5.8
DOS at the Fermi energy, states/eV/atom: 0.714


Result of the stability comparison: two is the most stable of them.


## one
Entry from Alexandria via LeMat-Bulk: a relaxed structure of NiBSeN2 (PBE).

```
NiBSeN2
1.0
3.404 0.000 0.000
0.000 3.404 0.000
0.000 0.000 8.183
Ni B Se N
1 1 1 2
Direct
0.000 0.000 0.000
0.500 0.500 0.500
0.000 0.000 0.500
0.000 0.500 0.000
0.500 0.000 0.000
```

Properties
ρ, Mg/m³: 3.1
DOS at the Fermi energy, states/eV/atom: 0.209


## two
Entry from Alexandria via LeMat-Bulk: a relaxed structure of NiBSeN2 (PBE).

```
NiBSeN2
1.0
3.160 0.000 0.000
0.000 3.160 0.000
0.000 0.000 7.507
Ni B Se N
1 1 1 2
Direct
0.000 0.000 0.000
0.500 0.500 0.500
0.500 0.500 0.000
0.000 0.500 0.500
0.500 0.000 0.500
```

Properties
ρ, Mg/m³: 3.9
DOS at the Fermi energy, states/eV/atom: 0.755


Result of the stability comparison: two is the most stable of them.